(1)
The following is a DFT calculation (GGA-PBE) of Fe2CuRh2 after structural relaxation.

a b c (Å): 7.076 7.076 2.815
angles (deg): 90.00 90.00 90.00
Fractional coordinates of all 10 atoms:
Rh 0.655 0.845 0.500
Rh 0.345 0.155 0.500
Rh 0.845 0.345 0.500
Rh 0.155 0.655 0.500
Fe 0.357 0.857 0.000
Fe 0.643 0.143 0.000
Fe 0.857 0.643 0.000
Fe 0.143 0.357 0.000
Cu 0.500 0.500 0.000
Cu 0.000 0.000 0.000

Summary:
Space-group type = P4/mbm
Calculated total energy = -6.949 eV per atom
ΔE_f = 0.196 eV per atom
Distance to the lowest polymorph of the same formula = 0.015 eV per atom

(2)
The following is a DFT calculation (GGA-PBE) of Fe2CuRh after structural relaxation.

a b c (Å): 3.687 3.691 3.747
angles (deg): 90.00 90.00 90.00
Fractional coordinates of all 4 atoms:
Cu 0.000 0.500 0.500
Fe 0.000 0.000 0.000
Fe 0.500 0.500 0.000
Rh 0.500 0.000 0.500

Summary:
Space-group type = P4/mmm
Calculated total energy = -7.068 eV per atom
ΔE_f = 0.026 eV per atom

(3)
The following is a DFT calculation (GGA-PBE) of FeCu2Rh after structural relaxation.

a b c (Å): 4.172 4.172 4.172
angles (deg): 60.00 60.00 60.00
Fractional coordinates of all 4 atoms:
Fe 0.500 0.500 0.500
Rh 0.750 0.750 0.750
Cu 0.000 0.000 0.000
Cu 0.250 0.250 0.250

Summary:
Space-group type = F-43m
Calculated total energy = -5.931 eV per atom
ΔE_f = 0.071 eV per atom

(4)
The following is a DFT calculation (GGA-PBE) of FeCu2Rh after structural relaxation.

a b c (Å): 3.781 2.636 5.754
angles (deg): 62.68 90.00 90.00
Fractional coordinates of all 4 atoms:
Rh 0.500 0.750 0.750
Fe 0.500 0.250 0.250
Cu 0.000 0.504 0.495
Cu 0.000 0.996 0.005

Summary:
Space-group type = Pmmm
Calculated total energy = -5.905 eV per atom
ΔE_f = 0.097 eV per atom

(5)
The following is a DFT calculation (GGA-PBE) of Fe4CuRh15 after structural relaxation.

a b c (Å): 3.821 3.821 18.974
angles (deg): 90.00 90.00 90.00
Fractional coordinates of all 20 atoms:
Rh 0.500 0.500 0.600
Rh 0.000 0.500 0.899
Rh 0.500 0.000 0.899
Rh 0.500 0.500 0.800
Rh 0.500 0.500 0.200
Rh 0.500 0.000 0.300
Rh 0.000 0.500 0.300
Rh 0.500 0.500 0.400
Rh 0.000 0.500 0.500
Rh 0.500 0.000 0.700
Rh 0.500 0.500 0.000
Rh 0.000 0.500 0.700
Rh 0.500 0.000 0.101
Rh 0.000 0.500 0.101
Rh 0.500 0.000 0.500
Fe 0.000 0.000 0.600
Fe 0.000 0.000 0.199
Fe 0.000 0.000 0.801
Fe 0.000 0.000 0.400
Cu 0.000 0.000 0.000

Summary:
Space-group type = P4/mmm
Calculated total energy = -7.435 eV per atom
ΔE_f = -0.024 eV per atom

(6)
The following is a DFT calculation (GGA-PBE) of FeCuRh4 after structural relaxation.

a b c (Å): 5.070 5.070 5.070
angles (deg): 60.00 60.00 60.00
Fractional coordinates of all 6 atoms:
Rh 0.375 0.875 0.375
Rh 0.875 0.375 0.375
Rh 0.375 0.375 0.375
Rh 0.375 0.375 0.875
Cu 0.750 0.750 0.750
Fe 0.000 0.000 0.000

Summary:
Space-group type = F-43m
Calculated total energy = -6.577 eV per atom
ΔE_f = 0.417 eV per atom
Distance to the lowest polymorph of the same formula = 0.381 eV per atom

(7)
The following is a DFT calculation (GGA-PBE) of Fe2CuRuRh after structural relaxation.

a b c (Å): 4.279 4.477 4.279
angles (deg): 90.00 90.00 90.00
Fractional coordinates of all 5 atoms:
Cu 0.000 0.000 0.000
Fe 0.500 0.000 0.000
Fe 0.000 0.000 0.500
Rh 0.000 0.500 0.000
Ru 0.500 0.500 0.500

Summary:
Space-group type = P4/mmm
Calculated total energy = -6.171 eV per atom
ΔE_f = 1.359 eV per atom

(8)
The following is a DFT calculation (GGA-PBE) of FeCuRh4S8 after structural relaxation.

a b c (Å): 6.997 6.997 6.997
angles (deg): 60.00 60.00 60.00
Fractional coordinates of all 14 atoms:
Rh 0.124 0.627 0.124
Rh 0.124 0.124 0.124
Rh 0.124 0.124 0.627
Rh 0.627 0.124 0.124
S 0.344 0.885 0.885
S 0.885 0.885 0.885
S 0.367 0.367 0.367
S 0.899 0.367 0.367
S 0.367 0.367 0.899
S 0.367 0.899 0.367
S 0.885 0.344 0.885
S 0.885 0.885 0.344
Fe 0.500 0.500 0.500
Cu 0.750 0.750 0.750

Summary:
Space-group type = F-43m
Calculated total energy = -5.798 eV per atom
Uncorrected formation energy = -0.442 eV per atom

(9)
The following is a DFT calculation (GGA-PBE) of Fe2CuRh3S8 after structural relaxation.

a b c (Å): 6.809 6.809 6.809
angles (deg): 62.31 62.31 62.31
Fractional coordinates of all 14 atoms:
S 0.140 0.590 0.140
S 0.131 0.625 0.625
S 0.625 0.131 0.625
S 0.131 0.131 0.131
S 0.625 0.625 0.131
S 0.615 0.615 0.615
S 0.140 0.140 0.590
S 0.590 0.140 0.140
Rh 0.873 0.372 0.372
Rh 0.372 0.372 0.873
Rh 0.372 0.873 0.372
Fe 0.394 0.394 0.394
Fe 0.751 0.751 0.751
Cu 0.991 0.991 0.991

Summary:
Space-group type = R3m
Calculated total energy = -5.859 eV per atom
Uncorrected formation energy = -0.423 eV per atom

(10)
The following is a DFT calculation (GGA-PBE) of FeCuRh4Se8 after structural relaxation.

a b c (Å): 7.360 7.360 7.360
angles (deg): 60.00 60.00 60.00
Fractional coordinates of all 14 atoms:
Se 0.344 0.885 0.885
Se 0.367 0.899 0.367
Se 0.367 0.367 0.367
Se 0.367 0.367 0.899
Se 0.885 0.885 0.885
Se 0.899 0.367 0.367
Se 0.885 0.344 0.885
Se 0.885 0.885 0.344
Cu 0.750 0.750 0.750
Rh 0.125 0.125 0.125
Rh 0.125 0.125 0.626
Rh 0.626 0.125 0.125
Rh 0.125 0.626 0.125
Fe 0.500 0.500 0.500

Summary:
Space-group type = F-43m
Calculated total energy = -5.359 eV per atom
Uncorrected formation energy = -0.370 eV per atom

(11)
The following is a DFT calculation (GGA-PBE) of FeCuSnRh after structural relaxation.

a b c (Å): 4.373 4.373 4.373
angles (deg): 60.00 60.00 60.00
Fractional coordinates of all 4 atoms:
Rh 0.750 0.750 0.750
Sn 0.000 0.000 0.000
Fe 0.250 0.250 0.250
Cu 0.500 0.500 0.500

Summary:
Space-group type = F-43m
Calculated total energy = -5.997 eV per atom
ΔE_f = -0.018 eV per atom

(12)
The following is a DFT calculation (GGA-PBE) of FeCuTe2Rh after structural relaxation.

a b c (Å): 5.161 4.719 5.161
angles (deg): 90.00 90.00 90.00
Fractional coordinates of all 5 atoms:
Cu 0.500 0.500 0.500
Te 0.500 0.000 0.000
Te 0.000 0.000 0.500
Fe 0.000 0.500 0.000
Rh 0.000 0.000 0.000

Summary:
Space-group type = P4/mmm
Calculated total energy = -4.426 eV per atom
Uncorrected formation energy = 0.813 eV per atom

(13)
The following is a DFT calculation (GGA-PBE) of ZnFeCuRh after structural relaxation.

a b c (Å): 4.211 4.211 4.211
angles (deg): 60.00 60.00 60.00
Fractional coordinates of all 4 atoms:
Rh 0.750 0.750 0.750
Cu 0.250 0.250 0.250
Zn 0.500 0.500 0.500
Fe 0.000 0.000 0.000

Summary:
Space-group type = F-43m
Calculated total energy = -5.380 eV per atom
ΔE_f = -0.084 eV per atom

(14)
The following is a DFT calculation (GGA-PBE) of ZrFeCu2Rh after structural relaxation.

a b c (Å): 4.795 4.711 4.795
angles (deg): 90.00 90.00 90.00
Fractional coordinates of all 5 atoms:
Zr 0.000 0.000 0.000
Cu 0.000 0.000 0.500
Cu 0.500 0.000 0.000
Rh 0.000 0.500 0.000
Fe 0.500 0.500 0.500

Summary:
Space-group type = P4/mmm
Calculated total energy = -5.080 eV per atom
ΔE_f = 1.431 eV per atom

(15)
The following is a DFT calculation (GGA-PBE) of FeCu2Ru after structural relaxation.

a b c (Å): 2.643 2.643 7.112
angles (deg): 90.00 90.00 90.00
Fractional coordinates of all 4 atoms:
Ru 0.500 0.500 0.737
Fe 0.000 0.000 0.502
Cu 0.000 0.000 0.009
Cu 0.500 0.500 0.253

Summary:
Space-group type = P4mm
Calculated total energy = -6.320 eV per atom
ΔE_f = 0.162 eV per atom
Distance to the lowest polymorph of the same formula = 0.010 eV per atom

(16)
The following is a DFT calculation (GGA-PBE) of FeCuRu after structural relaxation.

a b c (Å): 3.896 3.896 3.896
angles (deg): 60.00 60.00 60.00
Fractional coordinates of all 3 atoms:
Fe 0.750 0.750 0.750
Cu 0.500 0.500 0.500
Ru 0.000 0.000 0.000

Summary:
Space-group type = F-43m
Calculated total energy = -6.700 eV per atom
ΔE_f = 0.579 eV per atom
Distance to the lowest polymorph of the same formula = 0.391 eV per atom

(17)
The following is a DFT calculation (GGA-PBE) of Fe3CuRu after structural relaxation.

a b c (Å): 4.289 4.289 4.289
angles (deg): 90.00 90.00 90.00
Fractional coordinates of all 5 atoms:
Fe 0.000 0.000 0.500
Fe 0.000 0.500 0.000
Fe 0.500 0.000 0.000
Ru 0.500 0.500 0.500
Cu 0.000 0.000 0.000

Summary:
Space-group type = Pm-3m
Calculated total energy = -6.419 eV per atom
ΔE_f = 1.333 eV per atom
Distance to the lowest polymorph of the same formula = 0.000 eV per atom

(18)
The following is a DFT calculation (GGA-PBE) of Fe2Cu2Ru after structural relaxation.

a b c (Å): 7.010 7.010 2.605
angles (deg): 90.00 90.00 90.00
Fractional coordinates of all 10 atoms:
Cu 0.324 0.176 0.500
Cu 0.676 0.824 0.500
Cu 0.176 0.676 0.500
Cu 0.824 0.324 0.500
Fe 0.379 0.879 0.000
Fe 0.879 0.621 0.000
Fe 0.621 0.121 0.000
Fe 0.121 0.379 0.000
Ru 0.500 0.500 0.000
Ru 0.000 0.000 0.000

Summary:
Space-group type = P4/mbm
Calculated total energy = -6.473 eV per atom
ΔE_f = 0.405 eV per atom
Distance to the lowest polymorph of the same formula = 0.048 eV per atom

(19)
The following is a DFT calculation (GGA-PBE) of FeCu2Ru after structural relaxation.

a b c (Å): 2.554 2.554 7.739
angles (deg): 90.00 90.00 90.00
Fractional coordinates of all 4 atoms:
Ru 0.500 0.500 0.750
Fe 0.500 0.500 0.250
Cu 0.000 0.000 0.491
Cu 0.000 0.000 0.009

Summary:
Space-group type = P4/mmm
Calculated total energy = -6.223 eV per atom
ΔE_f = 0.260 eV per atom
Distance to the lowest polymorph of the same formula = 0.108 eV per atom

(20)
The following is a DFT calculation (GGA-PBE) of FeCuRu after structural relaxation.

a b c (Å): 6.674 6.494 2.571
angles (deg): 82.72 74.82 22.46
Fractional coordinates of all 3 atoms:
Fe 0.666 0.666 0.334
Cu 0.004 0.004 0.996
Ru 0.330 0.330 0.670

Summary:
Space-group type = Fmm2
Calculated total energy = -6.998 eV per atom
ΔE_f = 0.281 eV per atom
Distance to the lowest polymorph of the same formula = 0.093 eV per atom

V / A^3/atom: 14.10 12.75 12.84 12.74 13.85 15.36 16.39 17.30 16.77 20.14 14.78 25.14 13.20 21.67 12.42 13.94 15.78 12.80 12.62 13.01